# 1
Entry from the Alexandria database: crystalline Rb3CSe at its relaxed geometry (PBE-GGA).

```
Rb3CSe
1.0
-2.4596 -5.0013 -1.6824
2.0267 0.8184 -5.3959
4.8719 -2.8653 1.3954
Se C Rb
1 1 3
direct
0.5000 0.5000 0.5000 Se
0.0000 0.0000 0.0000 C
0.5000 0.0000 0.0000 Rb
0.0000 0.5000 0.0000 Rb
0.0000 0.0000 0.5000 Rb
```

uncorrected formation energy = 0.4330 eV per atom
magnetization = 3.000 μB per formula unit

# 2
Entry from the Alexandria database: crystalline YTcOs2 at its relaxed geometry (PBE-GGA).

```
YTcOs2
1.0
-4.4559 2.4465 -1.6534
-3.3490 1.0572 -4.0299
-3.6389 -3.1014 0.1182
Os Y Tc
2 1 1
direct
0.0254 0.0254 0.9564 Os
0.4746 0.4746 0.5436 Os
0.2500 0.2500 0.2500 Y
0.7500 0.7500 0.7500 Tc
```

energy relative to the elements = 0.315 eV/atom
magnetization = 0.000 μB per formula unit

# 3
Entry from the Alexandria database: crystalline LaTc2Pt2 at its relaxed geometry (PBE-GGA).

```
LaTc2Pt2
1.0
4.4209 0.0000 0.0000
0.0000 4.4209 0.0000
2.2104 2.2104 5.1419
Tc La Pt
2 1 2
direct
0.6065 0.6065 0.7870 Tc
0.3935 0.3935 0.2130 Tc
0.0000 0.0000 0.0000 La
0.2500 0.7500 0.5000 Pt
0.7500 0.2500 0.5000 Pt
```

energy relative to the elements = -0.225 eV/atom
magnetization = 0.000 μB per formula unit

no.,ΔE to the lowest computed polymorph (meV per atom)
1,0
2,138
3,20